Entry A
{"formula": "BaPtAu2", "functional": "meta-GGA SCAN", "state": "PBEsol geometry", "lattice_angstrom": [[-0.6862, 4.1735, -1.9296], [-2.9548, 3.0084, 1.9573], [2.7978, 4.4162, 2.9568]], "species": ["Pt", "Au", "Ba", "Au"], "fractional_positions": [[0.6913, 0.6913, 0.9260], [0.0093, 0.0093, 0.9720], [0.5007, 0.5007, 0.4979], [0.3085, 0.3085, 0.0746]], "rho_g_cm3": 12.0, "total_magnetization_mub_per_cell": 0.00}

---

Entry B
{"formula": "BaPtAu2", "functional": "meta-GGA SCAN", "state": "PBEsol geometry", "lattice_angstrom": [[3.9424, 0.0000, 0.0000], [0.0000, 4.8033, 0.0000], [-1.9712, -2.4016, 4.5924]], "species": ["Au", "Au", "Ba", "Pt"], "fractional_positions": [[0.0075, 0.0075, 0.0150], [0.2701, 0.7701, 0.5401], [0.4959, 0.4959, 0.9918], [0.7265, 0.2265, 0.4531]], "rho_g_cm3": 13.9, "total_magnetization_mub_per_cell": 0.00}

---

Entry C
{"formula": "BaPtAu2", "functional": "meta-GGA SCAN", "state": "PBEsol geometry", "lattice_angstrom": [[-1.6803, 1.5280, 3.7122], [1.5697, -3.7168, 2.2404], [4.5027, 2.5137, 1.0154]], "species": ["Ba", "Au", "Au", "Pt"], "fractional_positions": [[0.5000, 0.5000, 0.0000], [0.9994, 0.0000, 0.2476], [0.0006, 0.0000, 0.7524], [0.0000, 0.5000, 0.5000]], "rho_g_cm3": 11.4, "total_magnetization_mub_per_cell": 0.00}

---

Stability, lowest: entry B

---

Entry A
{"formula": "Ba2ReAu", "functional": "meta-GGA SCAN", "state": "PBEsol geometry", "lattice_angstrom": [[3.1113, 0.0000, 0.0000], [0.0000, 5.7773, 0.0000], [0.0000, 0.0000, 6.1871]], "species": ["Ba", "Re", "Ba", "Au"], "fractional_positions": [[0.5000, 0.5000, 0.3736], [0.0000, 0.0000, 0.3765], [0.0000, 0.0000, 0.8764], [0.5000, 0.5000, 0.8735]], "rho_g_cm3": 9.8, "total_magnetization_mub_per_cell": 0.00}

---

Entry B
{"formula": "Ba2ReAu", "functional": "meta-GGA SCAN", "state": "PBEsol geometry", "lattice_angstrom": [[-0.6067, -4.1195, 1.6696], [4.8825, 0.0767, 1.9633], [-3.9539, 4.0865, 2.6190]], "species": ["Re", "Au", "Ba", "Ba"], "fractional_positions": [[0.5838, 0.5838, 0.1676], [0.1832, 0.6832, 0.3664], [0.9714, 0.9714, 0.9428], [0.7616, 0.2616, 0.5231]], "rho_g_cm3": 8.9, "total_magnetization_mub_per_cell": 1.12}

---

Stability, lowest: entry A

---

Entry A
{"formula": "BaSc2Au", "functional": "meta-GGA SCAN", "state": "PBEsol geometry", "lattice_angstrom": [[4.5242, 0.0000, 0.0000], [0.0000, 4.5242, 0.0000], [0.0000, 0.0000, 5.0197]], "species": ["Sc", "Au", "Sc", "Ba"], "fractional_positions": [[0.5000, 0.0000, 0.0000], [0.5000, 0.5000, 0.5000], [0.0000, 0.5000, 0.0000], [0.0000, 0.0000, 0.5000]], "rho_g_cm3": 6.9, "total_magnetization_mub_per_cell": 1.14}

---

Entry B
{"formula": "BaSc2Au", "functional": "meta-GGA SCAN", "state": "PBEsol geometry", "lattice_angstrom": [[3.7319, 0.0000, 0.0000], [0.0000, 5.0151, 0.0000], [0.0000, 0.0000, 5.0151]], "species": ["Ba", "Au", "Sc", "Sc"], "fractional_positions": [[0.5000, 0.0000, 0.0000], [0.5000, 0.5000, 0.5000], [0.0000, 0.5000, 0.0000], [0.0000, 0.0000, 0.5000]], "rho_g_cm3": 7.5, "total_magnetization_mub_per_cell": 0.00}

---

Stability, lowest: entry B

---

Entry A
{"formula": "Ba2ScAu", "functional": "meta-GGA SCAN", "state": "PBEsol geometry", "lattice_angstrom": [[4.7149, 0.0000, 0.0000], [0.0000, 4.7149, 0.0000], [-2.3574, -2.3574, 5.6986]], "species": ["Ba", "Au", "Ba", "Sc"], "fractional_positions": [[0.7500, 0.2500, 0.5000], [0.2500, 0.7500, 0.5000], [0.0000, 0.0000, 0.0000], [0.5000, 0.5000, 0.0000]], "rho_g_cm3": 6.8, "total_magnetization_mub_per_cell": 0.76}

---

Entry B
{"formula": "Ba2ScAu", "functional": "meta-GGA SCAN", "state": "PBEsol geometry", "lattice_angstrom": [[-2.1611, 4.2579, -2.6781], [-4.1546, 2.7995, 2.2078], [0.8048, 5.0903, 1.8477]], "species": ["Au", "Ba", "Ba", "Sc"], "fractional_positions": [[0.5000, 0.5000, 0.5000], [0.0000, 0.0000, 0.0000], [0.7500, 0.7500, 0.7500], [0.2500, 0.2500, 0.2500]], "rho_g_cm3": 7.4, "total_magnetization_mub_per_cell": 0.00}

---

Stability, lowest: entry A